1.
Crystalline LiYAs at its relaxed geometry, computed with PBE.

Output
M_tot   0.90 μB per cell
Energy above the lowest structure with this stoichiometry   34.1 kJ/mol of atoms
Energy of formation   -60.5 kJ per mole of atoms
Density of states at the Fermi level   0.67 states/eV/atom

Unit cell a=3.942 b=3.942 c=8.180 alpha=90.00 beta=90.00 gamma=90.00
Space group I4mm (No. 107)
Symmetry-distinct sites (fractional):
Li  0.000  0.000  0.000
Y  0.000  0.000  0.659
As  0.000  0.000  0.305



2.
Crystalline Li2YAs at its relaxed geometry, computed with PBE.

Output
M_tot   0.00 μB per cell
Energy of formation   -48.2 kJ per mole of atoms
Density of states at the Fermi level   0.72 states/eV/atom

Unit cell a=3.691 b=4.406 c=11.136 alpha=90.00 beta=90.00 gamma=90.00
Space group Immm (No. 71)
Symmetry-distinct sites (fractional):
Li  0.000  0.000  0.209
Y  0.000  0.500  0.000
As  0.000  0.500  0.500



3.
Crystalline LiYAs at its relaxed geometry, computed with PBE.

Output
M_tot   0.00 μB per cell
Energy above the lowest structure with this stoichiometry   0.0 kJ/mol of atoms
Energy of formation   -94.6 kJ per mole of atoms
Density of states at the Fermi level   0.59 states/eV/atom

Unit cell a=4.1454 b=4.1454 c=3.9675 alpha=90.00 beta=90.00 gamma=120.00
Space group P-6m2 (No. 187)
Symmetry-distinct sites (fractional):
Li  0.0000  0.0000  0.0000
Y  0.6667  0.3333  0.5000
As  0.3333  0.6667  0.0000



4.
Crystalline Li2YAs at its relaxed geometry, computed with PBE.

Output
M_tot   0.01 μB per cell
Energy of formation   -62.9 kJ per mole of atoms
Density of states at the Fermi level   0.31 states/eV/atom

Unit cell a=4.1939 b=4.1939 c=15.2311 alpha=90.00 beta=90.00 gamma=120.00
Space group R3m (No. 160, hexagonal axes)
Symmetry-distinct sites (fractional):
Li  0.0000  0.0000  0.0000
Li  0.0000  0.0000  0.2883
Y  0.0000  0.0000  0.7998
As  0.0000  0.0000  0.5896



5.
Crystalline LiYAs at its relaxed geometry, computed with PBE.

Output
M_tot   0.00 μB per cell
Energy above the lowest structure with this stoichiometry   41.3 kJ/mol of atoms
Energy of formation   -53.3 kJ per mole of atoms
Density of states at the Fermi level   0.81 states/eV/atom

Unit cell a=4.681 b=5.650 c=9.946 alpha=90.00 beta=90.00 gamma=90.00
Space group Fmm2 (No. 42)
Symmetry-distinct sites (fractional):
Li  0.000  0.000  0.000
Y  0.000  0.000  0.285
As  0.000  0.000  0.619



6.
Crystalline Li2YAs at its relaxed geometry, computed with PBE.

Output
M_tot   0.00 μB per cell
Energy of formation   -46.1 kJ per mole of atoms
Density of states at the Fermi level   0.31 states/eV/atom

Unit cell a=4.853 b=5.540 c=6.590 alpha=90.00 beta=90.00 gamma=90.00
Space group Cmm2 (No. 35)
Symmetry-distinct sites (fractional):
Li  0.000  0.000  0.000
Li  0.000  0.500  0.190
Y  0.000  0.500  0.635
As  0.000  0.000  0.416



7.
Crystalline Li2YAs at its relaxed geometry, computed with PBE.

Output
M_tot   0.00 μB per cell
Energy of formation   -63.0 kJ per mole of atoms
Density of states at the Fermi level   0.22 states/eV/atom

Unit cell a=4.105 b=4.105 c=4.912 alpha=90.00 beta=90.12 gamma=90.00
Space group Pm (No. 6)
Symmetry-distinct sites (fractional):
Li  0.000  0.000  0.000
Li  0.496  0.500  0.001
Y  0.994  0.500  0.511
As  0.494  0.000  0.541



8.
Crystalline Li2YAs at its relaxed geometry, computed with PBE.

Output
M_tot   0.00 μB per cell
Energy of formation   -34.2 kJ per mole of atoms
Density of states at the Fermi level   0.48 states/eV/atom

Unit cell a=3.787 b=3.787 c=5.817 alpha=90.00 beta=90.00 gamma=90.00
Space group P4/mmm (No. 123)
Symmetry-distinct sites (fractional):
Li  0.000  0.000  0.197
Y  0.500  0.500  0.500
As  0.500  0.500  0.000



Q: The highest M_tot belongs to which entry?
A: number 1



What did the seventh record say?
Crystalline Li2YAs at its relaxed geometry, computed with PBE.

Output
M_tot   0.00 μB per cell
Energy of formation   -63.0 kJ per mole of atoms
Density of states at the Fermi level   0.22 states/eV/atom

Unit cell a=4.105 b=4.105 c=4.912 alpha=90.00 beta=90.12 gamma=90.00
Space group Pm (No. 6)
Symmetry-distinct sites (fractional):
Li  0.000  0.000  0.000
Li  0.496  0.500  0.001
Y  0.994  0.500  0.511
As  0.494  0.000  0.541



Q: Which of these has the lowest energy of formation?
A: number 3



Q: Look up the M_tot of the third one.
A: 0.00 μB per cell